This record from Alexandria describes a relaxed structure of Pr5DyGa4. The functional is PBE.

Lattice parameters (Å, degrees): 8.414 7.997 8.832 90.00 90.00 90.00
Fractional coordinates of all 20 atoms:
Ga (0.985, 0.500, 0.846)
Ga (0.015, 0.000, 0.346)
Ga (0.985, 0.500, 0.154)
Ga (0.435, 0.348, 0.500)
Ga (0.565, 0.848, 0.000)
Ga (0.015, 0.000, 0.654)
Ga (0.565, 0.152, 0.000)
Ga (0.435, 0.652, 0.500)
Dy (0.081, 0.500, 0.500)
Dy (0.919, 0.000, 0.000)
Pr (0.733, 0.247, 0.304)
Pr (0.733, 0.753, 0.304)
Pr (0.267, 0.253, 0.804)
Pr (0.267, 0.747, 0.804)
Pr (0.648, 0.500, 0.000)
Pr (0.352, 0.000, 0.500)
Pr (0.267, 0.747, 0.196)
Pr (0.267, 0.253, 0.196)
Pr (0.733, 0.753, 0.696)
Pr (0.733, 0.247, 0.696)

Calculated values
DOS at the Fermi energy	18.90	states/eV/cell
electronic total energy	-4.31	eV per atom
formation energy	-0.251	eV per atom
symmetry	Pmmn